# TiAgRu3

A relaxed structure of TiAgRu3 (PBE-GGA, Alexandria via LeMat-Bulk).

Cell and atoms, written as POSCAR:
```
TiAgRu3
1.0
4.525 0.000 0.000
0.000 4.525 0.000
0.000 0.000 4.525
Ru Ag Ti
3 1 1
Cartesian
0.000 2.263 0.000
2.263 0.000 0.000
0.000 0.000 2.263
2.263 2.263 2.263
0.000 0.000 0.000
```

Computed properties:
crystal system	cubic
relative energy among the computed polymorphs	0.0	meV per atom
DFT formation energy	1163	meV/atom
space-group type	Pm-3m, No. 221
uncorrected energy	-6.551	eV/atom